This record from the Open Quantum Materials Database describes a geometry-optimized TaZnAg structure. The functional is PBE-GGA.

volume = 227.1 Å³/cell
total DFT energy (no corrections) = -55.9 eV/cell
ΔE_f = 0.659 eV per atom

Lattice parameters (Å, degrees): 6.101 6.101 6.101 90.00 90.00 90.00
Space group F-43m (No. 216)
Inequivalent atoms, fractional coordinates:
Ta 0.000 0.000 0.000 x4
Zn 0.000 0.000 0.500 x4
Ag 0.250 0.250 0.250 x4